# 1
Density functional theory data (PBE-GGA) for an optimized crystal structure of CaSi4Tc.

Fermi-level density of states ... 23.23 states/eV/cell
Energy relative to the elements, uncorrected ... 0.29 eV/atom

abc: 7.226 7.226 7.226
angles: 90.00 90.00 90.00
Space group F-43m (No. 216)
Symmetry-distinct sites (fractional):
Ca 0.000 0.000 0.000 x4
Si 0.123 0.123 0.623 x16
Tc 0.250 0.250 0.250 x4

# 2
Density functional theory data (PBE-GGA) for an optimized crystal structure of Ca2SiTc.

Fermi-level density of states ... 9.90 states/eV/cell
Energy relative to the elements, uncorrected ... 0.52 eV/atom

abc: 3.2692 3.2692 28.7638
angles: 90.00 90.00 120.00
Space group R-3m (No. 166, hexagonal axes)
Symmetry-distinct sites (fractional):
Ca 0.0000 0.0000 0.2487 x6
Si 0.0000 0.0000 0.0000 x3
Tc 0.0000 0.0000 0.5000 x3

# 3
Density functional theory data (PBE-GGA) for an optimized crystal structure of Ca2SiTc.

Fermi-level density of states ... 6.80 states/eV/cell
Energy relative to the elements, uncorrected ... -0.03 eV/atom

abc: 3.637 4.985 10.028
angles: 90.00 90.00 90.00
Space group Imm2 (No. 44)
Symmetry-distinct sites (fractional):
Ca 0.000 0.000 0.000 x2
Ca 0.000 0.500 0.208 x2
Si 0.000 0.500 0.761 x2
Tc 0.000 0.000 0.408 x2

# 4
Density functional theory data (PBE-GGA) for an optimized crystal structure of CaSiTc2.

Fermi-level density of states ... 4.06 states/eV/cell
Energy relative to the elements, uncorrected ... -0.02 eV/atom

abc: 3.034 3.034 7.536
angles: 90.00 90.00 90.00
Space group P4mm (No. 99)
Symmetry-distinct sites (fractional):
Ca 0.000 0.000 0.000 x1
Si 0.500 0.500 0.294 x1
Tc 0.000 0.000 0.485 x1
Tc 0.500 0.500 0.684 x1

Q: Which formula does entry 4 have?
A: CaSiTc2